First-principles (PBE) data for a geometry-optimized CaBe2Fe structure, as listed in Alexandria via LeMat-Bulk.

Geometry as POSCAR:
```
CaBe2Fe
1.0
2.867 0.000 0.000
0.000 2.979 0.000
0.000 0.000 6.286
Ca Be Fe
1 2 1
Cartesian
0.000 0.000 0.000
1.433 1.490 2.122
1.433 1.490 4.164
0.000 0.000 3.143
```

Computed properties:
DOS at the Fermi energy = 3.59 states/eV/f.u.
ΔH_f (0 K) = 5.18 kcal/mol of atoms
total moment = 0.54 μB per cell